Here is a PBEsol-optimized structure of RbGa2Pb2 from the Alexandria database. Energies are from SCAN.

Properties
energy relative to the elements	-159	meV/atom

Lattice parameters (Å, degrees): 5.034 5.034 11.766 90.00 90.00 90.00
Space group I4/mmm (No. 139)
Inequivalent atoms, fractional coordinates:
Rb (0.000, 0.000, 0.000) [2 per cell]
Ga (0.000, 0.500, 0.250) [4 per cell]
Pb (0.000, 0.000, 0.369) [4 per cell]

***

Here is a PBEsol-optimized structure of Rb3GaPb from the Alexandria database. Energies are from SCAN.

Properties
energy relative to the elements	340	meV/atom

Lattice parameters (Å, degrees): 6.552 6.552 6.552 90.00 90.00 90.00
Space group Pm-3m (No. 221)
Inequivalent atoms, fractional coordinates:
Rb (0.000, 0.000, 0.500) [3 per cell]
Ga (0.000, 0.000, 0.000) [1 per cell]
Pb (0.500, 0.500, 0.500) [1 per cell]

***

Here is a PBEsol-optimized structure of Ga3RePb from the Alexandria database. Energies are from SCAN.

Properties
energy relative to the elements	1894	meV/atom

Lattice parameters (Å, degrees): 5.185 5.185 5.185 90.00 90.00 90.00
Space group Pm-3m (No. 221)
Inequivalent atoms, fractional coordinates:
Ga (0.000, 0.000, 0.500) [3 per cell]
Re (0.500, 0.500, 0.500) [1 per cell]
Pb (0.000, 0.000, 0.000) [1 per cell]

***

Here is a PBEsol-optimized structure of GaRe3Pb from the Alexandria database. Energies are from SCAN.

Properties
energy relative to the elements	3391	meV/atom

Lattice parameters (Å, degrees): 4.908 4.908 4.908 90.00 90.00 90.00
Space group Pm-3m (No. 221)
Inequivalent atoms, fractional coordinates:
Ga (0.000, 0.000, 0.000) [1 per cell]
Re (0.000, 0.500, 0.500) [3 per cell]
Pb (0.500, 0.500, 0.500) [1 per cell]

***

Here is a PBEsol-optimized structure of ScGaRePb2 from the Alexandria database. Energies are from SCAN.

Properties
energy relative to the elements	1234	meV/atom

Lattice parameters (Å, degrees): 5.498 5.498 4.664 90.00 90.00 90.00
Space group P4/mmm (No. 123)
Inequivalent atoms, fractional coordinates:
Sc (0.000, 0.000, 0.000) [1 per cell]
Ga (0.500, 0.500, 0.500) [1 per cell]
Re (0.000, 0.000, 0.500) [1 per cell]
Pb (0.000, 0.500, 0.000) [2 per cell]

***

Here is a PBEsol-optimized structure of Ga3RhPb from the Alexandria database. Energies are from SCAN.

Properties
energy relative to the elements	1331	meV/atom

Lattice parameters (Å, degrees): 5.166 5.166 5.166 90.00 90.00 90.00
Space group Pm-3m (No. 221)
Inequivalent atoms, fractional coordinates:
Ga (0.000, 0.000, 0.500) [3 per cell]
Rh (0.500, 0.500, 0.500) [1 per cell]
Pb (0.000, 0.000, 0.000) [1 per cell]

***

Here is a PBEsol-optimized structure of GaRu2RhPb from the Alexandria database. Energies are from SCAN.

Properties
energy relative to the elements	1977	meV/atom

Lattice parameters (Å, degrees): 4.881 4.881 4.835 90.00 90.00 90.00
Space group P4/mmm (No. 123)
Inequivalent atoms, fractional coordinates:
Ga (0.000, 0.000, 0.000) [1 per cell]
Ru (0.000, 0.500, 0.500) [2 per cell]
Rh (0.500, 0.500, 0.000) [1 per cell]
Pb (0.500, 0.500, 0.500) [1 per cell]

***

Here is a PBEsol-optimized structure of GaRuPb3 from the Alexandria database. Energies are from SCAN.

Properties
energy relative to the elements	1124	meV/atom

Lattice parameters (Å, degrees): 5.233 5.233 5.233 90.00 90.00 90.00
Space group Pm-3m (No. 221)
Inequivalent atoms, fractional coordinates:
Ga (0.000, 0.000, 0.000) [1 per cell]
Ru (0.500, 0.500, 0.500) [1 per cell]
Pb (0.000, 0.000, 0.500) [3 per cell]

***

Here is a PBEsol-optimized structure of Ga3PbS from the Alexandria database. Energies are from SCAN.

Properties
raw formation energy	346	meV/atom

Lattice parameters (Å, degrees): 4.813 4.813 4.813 90.00 90.00 90.00
Space group Pm-3m (No. 221)
Inequivalent atoms, fractional coordinates:
Ga (0.000, 0.000, 0.500) [3 per cell]
Pb (0.500, 0.500, 0.500) [1 per cell]
S (0.000, 0.000, 0.000) [1 per cell]

***

Here is a PBEsol-optimized structure of Ga2Pb2S5 from the Alexandria database. Energies are from SCAN.

Properties
raw formation energy	-708	meV/atom

Lattice parameters (Å, degrees): 11.034 12.316 11.872 90.00 90.00 90.00
Space group Pbca (No. 61)
Inequivalent atoms, fractional coordinates:
Ga (0.064, 0.045, 0.200) [8 per cell]
Ga (0.234, 0.527, 0.461) [8 per cell]
Pb (0.007, 0.705, 0.021) [8 per cell]
Pb (0.239, 0.190, 0.745) [8 per cell]
S (0.006, 0.219, 0.210) [8 per cell]
S (0.073, 0.067, 0.888) [8 per cell]
S (0.088, 0.527, 0.878) [8 per cell]
S (0.240, 0.535, 0.140) [8 per cell]
S (0.244, 0.709, 0.476) [8 per cell]

***

Here is a PBEsol-optimized structure of GaPbS3 from the Alexandria database. Energies are from SCAN.

Properties
raw formation energy	483	meV/atom

Lattice parameters (Å, degrees): 5.118 5.118 5.118 90.00 90.00 90.00
Space group Pm-3m (No. 221)
Inequivalent atoms, fractional coordinates:
Ga (0.000, 0.000, 0.000) [1 per cell]
Pb (0.500, 0.500, 0.500) [1 per cell]
S (0.000, 0.500, 0.500) [3 per cell]

***

Here is a PBEsol-optimized structure of GaSbPb3 from the Alexandria database. Energies are from SCAN.

Properties
raw formation energy	689	meV/atom

Lattice parameters (Å, degrees): 5.777 5.777 5.777 90.00 90.00 90.00
Space group Pm-3m (No. 221)
Inequivalent atoms, fractional coordinates:
Ga (0.000, 0.000, 0.000) [1 per cell]
Sb (0.500, 0.500, 0.500) [1 per cell]
Pb (0.000, 0.500, 0.500) [3 per cell]

***

Here is a PBEsol-optimized structure of Ga3SbPb from the Alexandria database. Energies are from SCAN.

Properties
raw formation energy	706	meV/atom

Lattice parameters (Å, degrees): 5.262 5.262 5.262 90.00 90.00 90.00
Space group Pm-3m (No. 221)
Inequivalent atoms, fractional coordinates:
Ga (0.000, 0.000, 0.500) [3 per cell]
Sb (0.500, 0.500, 0.500) [1 per cell]
Pb (0.000, 0.000, 0.000) [1 per cell]

***

Here is a PBEsol-optimized structure of Ga2SbPb2 from the Alexandria database. Energies are from SCAN.

Properties
raw formation energy	130	meV/atom

Lattice parameters (Å, degrees): 3.799 3.799 17.547 90.00 90.00 90.00
Space group I4/mmm (No. 139)
Inequivalent atoms, fractional coordinates:
Ga (0.000, 0.500, 0.250) [4 per cell]
Sb (0.000, 0.000, 0.000) [2 per cell]
Pb (0.000, 0.000, 0.394) [4 per cell]

***

Here is a PBEsol-optimized structure of Sc2Ga2Pb from the Alexandria database. Energies are from SCAN.

Properties
energy relative to the elements	-548	meV/atom

Lattice parameters (Å, degrees): 7.686 7.686 3.437 90.00 90.00 90.00
Space group P4/mbm (No. 127)
Inequivalent atoms, fractional coordinates:
Sc (0.180, 0.320, 0.000) [4 per cell]
Ga (0.116, 0.616, 0.500) [4 per cell]
Pb (0.000, 0.000, 0.500) [2 per cell]

***

Here is a PBEsol-optimized structure of ScGa3Pb from the Alexandria database. Energies are from SCAN.

Properties
energy relative to the elements	781	meV/atom

Lattice parameters (Å, degrees): 5.225 5.225 5.225 90.00 90.00 90.00
Space group Pm-3m (No. 221)
Inequivalent atoms, fractional coordinates:
Sc (0.000, 0.000, 0.000) [1 per cell]
Ga (0.000, 0.500, 0.500) [3 per cell]
Pb (0.500, 0.500, 0.500) [1 per cell]

***

Here is a PBEsol-optimized structure of Ga2PbSe4 from the Alexandria database. Energies are from SCAN.

Properties
raw formation energy	-625	meV/atom

Lattice parameters (Å, degrees): 6.239 10.667 10.725 90.00 90.00 90.00
Space group Cccm (No. 66)
Inequivalent atoms, fractional coordinates:
Ga (0.002, 0.238, 0.000) [8 per cell]
Pb (0.000, 0.500, 0.250) [4 per cell]
Se (0.232, 0.423, 0.500) [8 per cell]
Se (0.250, 0.250, 0.174) [8 per cell]

***

Here is a PBEsol-optimized structure of Ga2SnPb2 from the Alexandria database. Energies are from SCAN.

Properties
energy relative to the elements	140	meV/atom
relative energy among the computed polymorphs	0.026	eV per atom

Lattice parameters (Å, degrees): 3.722 3.722 18.227 90.00 90.00 90.00
Space group I4/mmm (No. 139)
Inequivalent atoms, fractional coordinates:
Ga (0.000, 0.500, 0.250) [4 per cell]
Sn (0.000, 0.000, 0.000) [2 per cell]
Pb (0.000, 0.000, 0.389) [4 per cell]

***

Here is a PBEsol-optimized structure of Ga2Sn2Pb from the Alexandria database. Energies are from SCAN.

Properties
energy relative to the elements	143	meV/atom
relative energy among the computed polymorphs	0.024	eV per atom

Lattice parameters (Å, degrees): 8.490 8.490 3.342 90.00 90.00 90.00
Space group P4/mbm (No. 127)
Inequivalent atoms, fractional coordinates:
Ga (0.151, 0.349, 0.000) [4 per cell]
Sn (0.144, 0.644, 0.500) [4 per cell]
Pb (0.000, 0.000, 0.500) [2 per cell]

***

Here is a PBEsol-optimized structure of Ga2Sn2Pb from the Alexandria database. Energies are from SCAN.

Properties
energy relative to the elements	119	meV/atom
relative energy among the computed polymorphs	0.000	eV per atom

Lattice parameters (Å, degrees): 3.937 3.937 15.754 90.00 90.00 90.00
Space group I4/mmm (No. 139)
Inequivalent atoms, fractional coordinates:
Ga (0.000, 0.500, 0.250) [4 per cell]
Sn (0.000, 0.000, 0.114) [4 per cell]
Pb (0.000, 0.000, 0.500) [2 per cell]